Entry 1:
PBE-GGA ZnCrHg, optimized geometry; ΔE to the lowest computed polymorph = 9.5 meV per atom; DFT formation energy = 341 meV per atom; magnetization = 3.8 μB per formula unit
1.0
-1.176 4.085 -1.542
-0.729 -3.671 -2.538
-2.719 -0.316 1.237
Cr Hg Zn
1 1 1
Direct
0.000 0.000 0.000
0.667 0.333 0.502
0.333 0.667 0.498

Entry 2:
PBE-GGA KTaTc2, optimized geometry; ΔE to the lowest computed polymorph = 92.1 meV per atom; DFT formation energy = 650 meV per atom; magnetization = 0.0 μB per formula unit
1.0
-1.285 -3.648 -0.303
0.369 0.109 -2.885
7.874 -2.733 -0.481
K Tc Ta
1 2 1
Direct
0.000 0.673 0.482
0.500 0.378 0.146
0.000 0.947 0.018
0.500 0.502 0.853

Entry 3:
PBE-GGA Ge3MoCl, optimized geometry; ΔE to the lowest computed polymorph = 1121.7 meV per atom; uncorrected formation energy = 1.246 eV/atom; magnetization = 3.5 μB per formula unit
1.0
-3.487 -1.697 -2.905
0.230 -4.294 2.233
-3.357 1.469 3.170
Mo Cl Ge
1 1 3
Direct
0.500 0.500 0.500
0.000 0.000 0.000
0.000 0.000 0.500
0.000 0.500 0.000
0.500 0.000 0.000

Entry 4:
PBE-GGA Ac2UCdO6, optimized geometry; uncorrected formation energy = -2.889 eV/atom; magnetization = 0.0 μB per formula unit
1.0
-6.351 2.348 0.916
-2.107 -6.236 1.374
5.263 2.625 3.531
Ac U O Cd
2 1 6 1
Direct
0.795 0.704 0.409
0.205 0.296 0.591
0.000 0.500 0.000
0.944 0.145 0.703
0.645 0.443 0.886
0.056 0.855 0.297
0.355 0.557 0.114
0.944 0.558 0.703
0.056 0.442 0.297
0.500 0.000 0.000

Entry 5:
PBE-GGA GdTm2Ni, optimized geometry; ΔE to the lowest computed polymorph = 0.0 meV per atom; DFT formation energy = -205 meV per atom; magnetization = 7.8 μB per formula unit
1.0
-1.218 -0.343 3.167
-0.176 -3.378 -0.434
8.015 -0.803 2.997
Ni Gd Tm
1 1 2
Direct
0.500 0.500 0.000
0.500 0.500 0.500
0.000 0.000 0.184
0.000 0.000 0.816

Entry 6:
PBE-GGA SrLaRh, optimized geometry; ΔE to the lowest computed polymorph = 15.8 meV per atom; DFT formation energy = -432 meV per atom; magnetization = 0.0 μB per formula unit
1.0
-2.508 -6.677 2.171
1.036 -3.006 -8.048
6.889 0.350 0.756
Rh La Sr
4 4 4
Direct
0.763 0.875 0.472
0.263 0.625 0.472
0.737 0.375 0.528
0.237 0.125 0.528
0.477 0.376 0.715
0.523 0.624 0.285
0.023 0.876 0.285
0.977 0.124 0.715
0.483 0.128 0.241
0.983 0.372 0.241
0.517 0.872 0.759
0.017 0.628 0.759

Entry 7:
PBE-GGA TbGaHPd2, optimized geometry; calculated total energy = -5.04 eV/atom; magnetization = 0.0 μB per formula unit
1.0
3.761 0.000 0.000
-1.881 5.501 0.000
0.000 0.000 7.531
Pd H Ga Tb
4 2 2 2
Direct
0.847 0.694 0.055
0.153 0.306 0.945
0.847 0.694 0.445
0.153 0.306 0.555
0.000 0.000 0.000
0.000 0.000 0.500
0.265 0.530 0.250
0.735 0.470 0.750
0.453 0.905 0.750
0.547 0.095 0.250

Entry 8:
PBE-GGA SmTiHg2, optimized geometry; ΔE to the lowest computed polymorph = 0.0 meV per atom; DFT formation energy = -174 meV per atom; magnetization = 1.3 μB per formula unit
1.0
3.532 0.000 0.000
0.000 3.532 0.000
0.000 0.000 7.349
Ti Hg Sm
1 2 1
Direct
0.500 0.500 0.000
0.000 0.000 0.215
0.000 0.000 0.785
0.500 0.500 0.500